First-principles (PBE) data for a relaxed NaAc3Fe crystal, as listed in Alexandria via LeMat-Bulk.

Its formation energy from the elements is 0.74 eV per formula unit. Its total energy is -4.27 eV/atom. The calculation puts the total magnetization at 0.23 μB/f.u.

Lattice parameters (Å, degrees): 5.690 5.690 5.690 90.00 90.00 90.00
Site moments in Bohr magnetons follow the coordinates.
Element x y z (fractional)
Na: 0.500 0.500 0.500  0.00
Ac: 0.000 0.500 0.000  0.00
Ac: 0.000 0.000 0.500  0.00
Ac: 0.500 0.000 0.000  0.00
Fe: 0.000 0.000 0.000  0.25